PBE Np3U5As8, relaxed; space-group type = No. 166; spin magnetization = 9.82 μB/f.u.
1.0
4.056 2.342 6.768
-4.056 2.342 6.768
0.000 -4.684 6.768
Np U As
3 5 8
Direct
0.000 0.500 0.500
0.500 0.000 0.500
0.500 0.500 0.000
0.000 0.000 0.000
0.000 0.000 0.500
0.000 0.500 0.000
0.500 0.000 0.000
0.500 0.500 0.500
0.249 0.249 0.249
0.249 0.750 0.750
0.250 0.250 0.751
0.250 0.751 0.250
0.750 0.249 0.750
0.750 0.750 0.249
0.751 0.250 0.250
0.751 0.751 0.751

PBE Cr2NiAu, relaxed; space-group type = No. 8; spin magnetization = 0.01 μB/f.u.; ΔE to the lowest computed polymorph = 0.094 eV/atom
1.0
4.397 -1.456 0.000
4.397 1.456 0.000
-1.211 0.000 4.410
Cr Ni Au
2 1 1
Direct
0.000 0.000 0.000
0.735 0.735 0.221
0.478 0.478 0.461
0.235 0.235 0.712

PBE MgTeAs2, relaxed; uncorrected formation energy = 0.06 eV/atom; space-group type = No. 122; spin magnetization = 0.00 μB/f.u.; ΔE to the lowest computed polymorph = 0.311 eV/atom
1.0
-3.011 3.011 6.838
3.011 -3.011 6.838
3.011 3.011 -6.838
Mg Te As
2 2 4
Direct
0.000 0.000 0.000
0.750 0.250 0.500
0.250 0.750 0.500
0.500 0.500 0.000
0.107 0.625 0.982
0.375 0.357 0.482
0.643 0.125 0.018
0.875 0.893 0.518

PBE ThBi2Pb, relaxed; space-group type = No. 123; spin magnetization = 0.00 μB/f.u.; ΔE to the lowest computed polymorph = 0.008 eV/atom
1.0
4.272 0.000 0.000
0.000 4.272 0.000
0.000 0.000 6.871
Th Bi Pb
1 2 1
Direct
0.000 0.000 0.000
0.500 0.500 0.239
0.500 0.500 0.761
0.000 0.000 0.500

PBE KLi2In2, relaxed; space-group type = No. 139; spin magnetization = 0.00 μB/f.u.; ΔE to the lowest computed polymorph = 0.076 eV/atom
1.0
-2.645 2.645 5.100
2.645 -2.645 5.100
2.645 2.645 -5.100
K Li In
1 2 2
Direct
0.000 0.000 0.000
0.250 0.750 0.500
0.750 0.250 0.500
0.357 0.357 0.000
0.643 0.643 0.000

PBE KMn2ZnHg, relaxed; space-group type = No. 123; spin magnetization = 9.07 μB/f.u.
1.0
5.218 0.000 0.000
0.000 5.218 0.000
0.000 0.000 6.321
K Mn Zn Hg
1 2 1 1
Direct
0.000 0.000 0.000
0.000 0.500 0.500
0.500 0.000 0.500
0.500 0.500 0.000
0.000 0.000 0.500

PBE Nd5Sm6Sc, relaxed; space-group type = No. 12; spin magnetization = 0.00 μB/f.u.
1.0
3.136 -5.429 0.000
3.136 5.429 0.000
-2.094 0.000 11.844
Nd Sm Sc
5 6 1
Direct
0.000 0.000 0.000
0.167 0.833 0.500
0.334 0.666 0.000
0.666 0.334 0.000
0.833 0.167 0.500
0.089 0.418 0.253
0.252 0.252 0.747
0.418 0.089 0.253
0.582 0.911 0.747
0.748 0.748 0.253
0.911 0.582 0.747
0.500 0.500 0.500

PBE KTiAl, relaxed; space-group type = No. 11; spin magnetization = 0.00 μB/f.u.; ΔE to the lowest computed polymorph = 0.000 eV/atom
1.0
4.210 0.000 0.000
0.000 3.488 0.000
-2.069 0.000 12.429
K Ti Al
2 2 2
Direct
0.168 0.250 0.337
0.832 0.750 0.663
0.458 0.750 0.915
0.542 0.250 0.085
0.041 0.750 0.083
0.959 0.250 0.917

PBE MnPd12Au6, relaxed; space-group type = No. 148; spin magnetization = 4.81 μB/f.u.
1.0
4.874 2.814 3.846
-4.874 2.814 3.846
0.000 -5.628 3.846
Mn Pd Au
1 12 6
Direct
0.000 0.000 0.000
0.046 0.146 0.369
0.146 0.369 0.046
0.203 0.470 0.549
0.369 0.046 0.146
0.451 0.797 0.530
0.470 0.549 0.203
0.530 0.451 0.797
0.549 0.203 0.470
0.631 0.954 0.854
0.797 0.530 0.451
0.854 0.631 0.954
0.954 0.854 0.631
0.119 0.737 0.273
0.263 0.727 0.881
0.273 0.119 0.737
0.727 0.881 0.263
0.737 0.273 0.119
0.881 0.263 0.727

PBE AcDy2Al, relaxed; space-group type = No. 123; spin magnetization = 0.00 μB/f.u.; ΔE to the lowest computed polymorph = 0.085 eV/atom
1.0
4.929 0.000 0.000
0.000 4.929 0.000
0.000 0.000 4.969
Ac Dy Al
1 2 1
Direct
0.000 0.000 0.000
0.000 0.500 0.500
0.500 0.000 0.500
0.500 0.500 0.000

PBE KPdSe3, relaxed; uncorrected formation energy = -0.20 eV/atom; space-group type = No. 221; spin magnetization = 0.00 μB/f.u.; ΔE to the lowest computed polymorph = 0.295 eV/atom
1.0
5.081 0.000 0.000
0.000 5.081 0.000
0.000 0.000 5.081
K Pd Se
1 1 3
Direct
0.000 0.000 0.000
0.500 0.500 0.500
0.000 0.500 0.500
0.500 0.000 0.500
0.500 0.500 0.000

PBE HfFeCo2C, relaxed; space-group type = No. 123; spin magnetization = 0.00 μB/f.u.
1.0
3.825 0.000 0.000
0.000 3.825 0.000
0.000 0.000 3.822
Hf Fe Co C
1 1 2 1
Direct
0.000 0.000 0.000
0.500 0.500 0.000
0.000 0.500 0.500
0.500 0.000 0.500
0.500 0.500 0.500

PBE ThBi2, relaxed; space-group type = No. 139; spin magnetization = 0.00 μB/f.u.
1.0
-2.116 2.116 5.235
2.116 -2.116 5.235
2.116 2.116 -5.235
Th Bi
1 2
Direct
0.000 0.000 0.000
0.342 0.342 0.000
0.658 0.658 0.000

PBE Cs2CaZn3F12, relaxed; uncorrected formation energy = -2.48 eV/atom; space-group type = No. 166; spin magnetization = 1.99 μB/f.u.
1.0
3.803 2.195 6.129
-3.803 2.195 6.129
0.000 -4.391 6.129
Cs Ca Zn F
2 1 3 12
Direct
0.117 0.117 0.117
0.883 0.883 0.883
0.500 0.500 0.500
0.000 0.500 0.500
0.500 0.000 0.500
0.500 0.500 0.000
0.137 0.591 0.591
0.197 0.197 0.584
0.197 0.584 0.197
0.409 0.409 0.863
0.409 0.863 0.409
0.416 0.803 0.803
0.584 0.197 0.197
0.591 0.137 0.591
0.591 0.591 0.137
0.803 0.416 0.803
0.803 0.803 0.416
0.863 0.409 0.409

PBE AsRhSe, relaxed; uncorrected formation energy = 0.35 eV/atom; space-group type = No. 216; spin magnetization = 0.00 μB/f.u.
1.0
0.000 3.070 3.070
3.070 0.000 3.070
3.070 3.070 0.000
As Rh Se
1 1 1
Direct
0.000 0.000 0.000
0.750 0.750 0.750
0.250 0.250 0.250

PBE Ti2Co2H, relaxed; space-group type = No. 139; spin magnetization = 0.23 μB/f.u.; ΔE to the lowest computed polymorph = 0.294 eV/atom
1.0
-1.623 1.623 6.369
1.623 -1.623 6.369
1.623 1.623 -6.369
Ti Co H
2 2 1
Direct
0.110 0.110 0.000
0.890 0.890 0.000
0.250 0.750 0.500
0.750 0.250 0.500
0.500 0.500 0.000

PBE Ac4PrSe7, relaxed; uncorrected formation energy = -1.97 eV/atom; space-group type = No. 8; spin magnetization = 0.00 μB/f.u.
1.0
7.296 -2.161 0.000
7.296 2.161 0.000
-3.396 0.000 12.430
Ac Pr Se
4 1 7
Direct
0.000 0.000 0.000
0.191 0.191 0.765
0.587 0.587 0.378
0.888 0.888 0.570
0.776 0.776 0.150
0.156 0.156 0.222
0.228 0.228 0.522
0.382 0.382 0.074
0.549 0.549 0.622
0.630 0.630 0.929
0.847 0.847 0.788
0.930 0.930 0.350

PBE Cs4CaNp3O12, relaxed; uncorrected formation energy = -2.57 eV/atom; space-group type = No. 229; spin magnetization = 3.00 μB/f.u.
1.0
-4.425 4.425 4.425
4.425 -4.425 4.425
4.425 4.425 -4.425
Cs Ca Np O
4 1 3 12
Direct
0.000 0.000 0.500
0.000 0.500 0.000
0.500 0.000 0.000
0.500 0.500 0.500
0.000 0.000 0.000
0.000 0.500 0.500
0.500 0.000 0.500
0.500 0.500 0.000
0.000 0.280 0.280
0.000 0.720 0.720
0.250 0.500 0.750
0.250 0.750 0.500
0.280 0.000 0.280
0.280 0.280 0.000
0.500 0.250 0.750
0.500 0.750 0.250
0.720 0.000 0.720
0.720 0.720 0.000
0.750 0.250 0.500
0.750 0.500 0.250

PBE Dy3CSeCl, relaxed; uncorrected formation energy = -1.18 eV/atom; space-group type = No. 11; spin magnetization = 0.66 μB/f.u.
1.0
7.852 0.000 0.000
0.000 3.778 0.000
-0.533 0.000 10.054
Dy C Se Cl
6 2 2 2
Direct
0.094 0.250 0.382
0.127 0.250 0.868
0.347 0.750 0.628
0.653 0.250 0.372
0.873 0.750 0.132
0.906 0.750 0.618
0.130 0.250 0.634
0.870 0.750 0.366
0.368 0.750 0.343
0.632 0.250 0.657
0.371 0.750 0.903
0.629 0.250 0.097

PBE RbAs2PbSe, relaxed; uncorrected formation energy = 1.18 eV/atom; space-group type = No. 123; spin magnetization = 0.39 μB/f.u.; ΔE to the lowest computed polymorph = 0.879 eV/atom
1.0
5.572 0.000 0.000
0.000 5.572 0.000
0.000 0.000 5.791
Rb As Pb Se
1 2 1 1
Direct
0.000 0.000 0.000
0.000 0.500 0.000
0.500 0.000 0.000
0.500 0.500 0.500
0.000 0.000 0.500

PBE Ce2LuTh, relaxed; space-group type = No. 225; spin magnetization = 2.26 μB/f.u.; ΔE to the lowest computed polymorph = 0.209 eV/atom
1.0
0.000 3.934 3.934
3.934 0.000 3.934
3.934 3.934 0.000
Ce Lu Th
2 1 1
Direct
0.250 0.250 0.250
0.750 0.750 0.750
0.000 0.000 0.000
0.500 0.500 0.500

PBE Pr2NdHg, relaxed; space-group type = No. 123; spin magnetization = 0.00 μB/f.u.; ΔE to the lowest computed polymorph = 0.000 eV/atom
1.0
3.783 0.000 0.000
0.000 3.783 0.000
0.000 0.000 9.042
Pr Nd Hg
2 1 1
Direct
0.000 0.000 0.221
0.000 0.000 0.779
0.500 0.500 0.500
0.500 0.500 0.000

PBE Er3Ga7Ir2, relaxed; space-group type = No. 10; spin magnetization = 0.00 μB/f.u.
1.0
4.171 0.000 0.000
0.000 4.152 0.000
-2.061 0.000 13.366
Er Ga Ir
3 7 2
Direct
0.000 0.000 0.000
0.320 0.500 0.641
0.680 0.500 0.359
0.080 0.500 0.161
0.224 0.000 0.448
0.420 0.000 0.839
0.500 0.500 0.000
0.580 0.000 0.161
0.776 0.000 0.552
0.920 0.500 0.839
0.131 0.000 0.264
0.869 0.000 0.736

PBE TeRuPb, relaxed; uncorrected formation energy = 0.11 eV/atom; space-group type = No. 107; spin magnetization = 0.60 μB/f.u.; ΔE to the lowest computed polymorph = 0.000 eV/atom
1.0
-1.642 1.642 6.737
1.642 -1.642 6.737
1.642 1.642 -6.737
Te Ru Pb
1 1 1
Direct
0.000 0.000 0.000
0.397 0.397 0.000
0.742 0.742 0.000

PBE ZrPaTcAg, relaxed; space-group type = No. 216; spin magnetization = 0.00 μB/f.u.
1.0
0.000 3.449 3.449
3.449 0.000 3.449
3.449 3.449 0.000
Zr Pa Tc Ag
1 1 1 1
Direct
0.000 0.000 0.000
0.500 0.500 0.500
0.250 0.250 0.250
0.750 0.750 0.750

Short version: final energy = -8.968, -6.843, -3.445, -5.042, -2.160, -3.297, -4.847, -4.173, -4.783, -4.332, -3.552, -8.640, -5.477, -4.149, -4.815, -6.327, -5.774, -7.758, -5.904, -2.308, -5.683, -3.886, -5.038, -5.270, -7.783 eV per atom, in the order given.